Record 1
The following is a DFT calculation (GGA-PBE) of BaHgPbF6 after structural relaxation.

a b c (Å): 6.3133 6.3133 5.5111
angles (deg): 90.00 90.00 120.00
Last column: nearest neighbours and their distance in Å.
Space group P312 (No. 149)
Asymmetric unit:
Ba  0.0000  0.0000  0.0000 (multiplicity 1)  6 F 2.65
Hg  0.6667  0.3333  0.5000 (multiplicity 1)  6 F 2.36
Pb  0.3333  0.6667  0.5000 (multiplicity 1)  6 F 2.47
F  0.3507  0.0126  0.7248 (multiplicity 6)  1 Hg 2.36, 1 Pb 2.47

## Properties
**Electronic total energy**: -4.433 eV per atom
**Fermi-level density of states**: 0.0 states/eV per cell



Record 2
The following is a DFT calculation (GGA-PBE) of BaHg2PbF8 after structural relaxation.

a b c (Å): 5.9113 5.9113 11.6796
angles (deg): 90.00 90.00 90.00
Last column: nearest neighbours and their distance in Å.
Space group I-4m2 (No. 119)
Asymmetric unit:
Ba  0.0000  0.0000  0.0000 (multiplicity 2)  8 F 2.66
Hg  0.0000  0.0000  0.5000 (multiplicity 2)  8 F 2.49
Hg  0.0000  0.5000  0.2500 (multiplicity 2)  8 F 2.49
Pb  0.0000  0.5000  0.7500 (multiplicity 2)  8 F 2.57
F  0.2321  0.2430  0.3714 (multiplicity 16)  2 Hg 2.49, 1 Pb 2.57, 1 Ba 2.66, 1 F 2.74

## Properties
**Electronic total energy**: -4.037 eV per atom
**Fermi-level density of states**: 0.0 states/eV per cell



Record 3
The following is a DFT calculation (GGA-PBE) of BaHg2PtF after structural relaxation.

a b c (Å): 7.1647 7.1647 5.5302
angles (deg): 90.00 90.00 90.00
Last column: nearest neighbours and their distance in Å.
Space group P4/mmm (No. 123)
Asymmetric unit:
Ba  0.0000  0.0000  0.0000 (multiplicity 1)  2 Pt 2.77
Hg  0.0000  0.5000  0.0000 (multiplicity 2)  2 Ba 3.58
Pt  0.0000  0.0000  0.5000 (multiplicity 1)  2 Ba 2.77
F  0.5000  0.5000  0.5000 (multiplicity 1)  8 Hg 4.53, 4 Pt 5.07

## Properties
**Electronic total energy**: -1.971 eV per atom
**Fermi-level density of states**: 43.4 states/eV per cell



Record 4
The following is a DFT calculation (GGA-PBE) of Rb2BaHgF after structural relaxation.

a b c (Å): 5.7357 5.7357 5.7024
angles (deg): 90.00 90.00 90.00
Last column: nearest neighbours and their distance in Å.
Space group P4/mmm (No. 123)
Asymmetric unit:
Rb  0.0000  0.5000  0.0000 (multiplicity 2)  2 F 2.87
Ba  0.0000  0.0000  0.5000 (multiplicity 1)  2 F 2.85
Hg  0.5000  0.5000  0.5000 (multiplicity 1)  8 Rb 4.04, 4 Ba 4.06
F  0.0000  0.0000  0.0000 (multiplicity 1)  2 Ba 2.85, 4 Rb 2.87

## Properties
**Electronic total energy**: -2.311 eV per atom
**Fermi-level density of states**: 3.8 states/eV per cell



Record 5
The following is a DFT calculation (GGA-PBE) of Rb2BaHgF6 after structural relaxation.

a b c (Å): 6.6533 6.8381 11.4960
angles (deg): 90.00 124.56 90.00
Last column: nearest neighbours and their distance in Å.
Space group P2_1/c (No. 14)
Asymmetric unit:
Rb  0.2336  0.0475  0.2491 (multiplicity 4)  6 F 2.83-3.11
Ba  0.5000  0.0000  0.0000 (multiplicity 2)  6 F 2.59
Hg  0.0000  0.0000  0.5000 (multiplicity 2)  6 F 2.35-2.37
F  0.1365  0.2184  0.9438 (multiplicity 4)  1 Hg 2.37, 1 Ba 2.59
F  0.2273  0.6973  0.9465 (multiplicity 4)  1 Hg 2.35, 1 Ba 2.59
F  0.3388  0.0443  0.7366 (multiplicity 4)  1 Hg 2.37, 1 Ba 2.59

## Properties
**Energy above the lowest structure with this stoichiometry**: 0 meV/atom
**Electronic total energy**: -4.201 eV per atom
**Fermi-level density of states**: 0.0 states/eV per cell



Record 6
The following is a DFT calculation (GGA-PBE) of Rb2BaHgF6 after structural relaxation.

a b c (Å): 9.7230 9.7230 9.7230
angles (deg): 90.00 90.00 90.00
Last column: nearest neighbours and their distance in Å.
Space group Fm-3m (No. 225)
Asymmetric unit:
Rb  0.2500  0.2500  0.2500 (multiplicity 8)  12 F 3.44
Ba  0.0000  0.0000  0.0000 (multiplicity 4)  6 F 2.53
Hg  0.0000  0.0000  0.5000 (multiplicity 4)  6 F 2.33
F  0.0000  0.0000  0.2605 (multiplicity 24)  1 Hg 2.33, 1 Ba 2.53

## Properties
**Energy above the lowest structure with this stoichiometry**: 44 meV/atom
**Electronic total energy**: -4.157 eV per atom
**Fermi-level density of states**: 0.0 states/eV per cell